[1]
VASP calculation (SCAN) on a crystal of LiTi2P3O12 relaxed with PBEsol.

Unit cell a=8.6271 b=8.5870 c=11.9374 alpha=90.00 beta=90.00 gamma=90.00
With the nearest neighbours (Å) after each atom.
Space group Pna2_1 (No. 33)
One atom of each set of equivalent atoms:
Li 0.2235 0.0306 0.0000 x4  4 O 1.94-1.99
Ti 0.0251 0.9979 0.2026 x4  6 O 1.87-2.02
Ti 0.0455 0.5054 0.9367 x4  6 O 1.87-2.04
P 0.1068 0.8520 0.4628 x4  4 O 1.53-1.54
P 0.1094 0.3592 0.6725 x4  4 O 1.53-1.55
P 0.2466 0.2865 0.3168 x4  4 O 1.52-1.55
O 0.0034 0.5688 0.0871 x4  1 P 1.54
O 0.0114 0.0744 0.0442 x4  1 P 1.54
O 0.0601 0.9078 0.3451 x4  1 P 1.54
O 0.0693 0.4158 0.7906 x4  1 P 1.53
O 0.0947 0.1810 0.6648 x4  1 P 1.54
O 0.1019 0.6738 0.4714 x4  1 P 1.53
O 0.1437 0.1826 0.2456 x4  1 P 1.52
O 0.1466 0.6891 0.8936 x4  1 P 1.55
O 0.1540 0.8897 0.7395 x4  1 P 1.54
O 0.1568 0.3967 0.3949 x4  1 P 1.54
O 0.2239 0.9091 0.1411 x4  1 P 1.55
O 0.2265 0.4029 0.9895 x4  1 P 1.54

Energy   -764.77 eV for the cell shown
E above lowest polymorph   0.0011 eV/atom
Formation energy (no corrections)   -2821 meV/atom
Theoretical density   2.9 Mg/m³
V   884.3 Å³/cell
DOS(E_F)   0.0000 states/eV per atom

---

[2]
VASP calculation (SCAN) on a crystal of LiTi2P3O12 relaxed with PBEsol.

Unit cell a=8.4340 b=8.4800 c=8.7601 alpha=118.43 beta=90.39 gamma=119.64
With the nearest neighbours (Å) after each atom.
Space group P-1 (No. 2)
One atom of each set of equivalent atoms:
Li 0.2490 0.2934 0.1029 x2  4 O 1.96-2.13
Ti 0.1337 0.2861 0.4313 x2  6 O 1.89-2.01
Ti 0.3592 0.7185 0.0743 x2  6 O 1.88-2.04
P 0.0366 0.5075 0.2557 x2  4 O 1.53-1.55
P 0.2489 0.2171 0.7576 x2  4 O 1.53-1.54
P 0.4709 0.2249 0.2475 x2  4 O 1.53-1.55
O 0.0289 0.6430 0.4458 x2  1 P 1.53
O 0.0889 0.0052 0.7367 x2  1 P 1.54
O 0.0929 0.3586 0.2532 x2  1 P 1.55
O 0.1597 0.6351 0.8891 x2  1 P 1.53
O 0.1924 0.6634 0.2127 x2  1 P 1.54
O 0.1954 0.2244 0.5947 x2  1 P 1.53
O 0.2679 0.4002 0.9406 x2  1 P 1.54
O 0.2849 0.2038 0.2838 x2  1 P 1.54
O 0.3540 0.5844 0.5827 x2  1 P 1.53
O 0.4383 0.2314 0.7663 x2  1 P 1.54
O 0.4561 0.0153 0.1904 x2  1 P 1.54
O 0.4772 0.2613 0.0894 x2  1 P 1.55

Energy   -382.25 eV for the cell shown
E above lowest polymorph   0.0049 eV/atom
Formation energy (no corrections)   -2817 meV/atom
Theoretical density   2.8 Mg/m³
V   454.2 Å³/cell
DOS(E_F)   0.0000 states/eV per atom

---

[3]
VASP calculation (SCAN) on a crystal of LiTiP2O7 relaxed with PBEsol.

Unit cell a=6.5308 b=8.2286 c=4.5381 alpha=90.00 beta=103.33 gamma=90.00
With the nearest neighbours (Å) after each atom.
Space group C2 (No. 5)
One atom of each set of equivalent atoms:
Li 0.0000 0.0000 0.0000 x2  4 O 2.10-2.11
Ti 0.0000 0.6250 0.0000 x2  6 O 1.99-2.05
P 0.2085 0.2900 0.4111 x4  4 O 1.52-1.61
O 0.0000 0.2228 0.5000 x2  2 P 1.61
O 0.1277 0.8072 0.2888 x4  1 P 1.53
O 0.1683 0.4535 0.2549 x4  1 P 1.52
O 0.2494 0.6546 0.8005 x4  1 P 1.54

Energy   -224.97 eV for the cell shown
E above lowest polymorph   0.0086 eV/atom
Formation energy (no corrections)   -2695 meV/atom
Theoretical density   3.2 Mg/m³
V   237.3 Å³/cell

---

Among the records above, which one has the lowest formation energy (no corrections)?
number 1

---

Which value of formation energy (no corrections) does entry 1 give?
-2821 meV/atom